Cd2SnGeAs4 | SCAN | single point on PBEsol structure

Its calculated formation energy is -130 meV per atom. Its density of states at the Fermi level is 0.044 states/eV/atom.

The structure belongs to space group I-4 (No. 82); the cell edges are 6.019, 6.019 and 11.662 Å and the angles 90.00°, 90.00° and 90.00°. The distinct sites, in fractional coordinates, are Cd at (0.000, 0.000, 0.000), Cd at (0.000, 0.500, 0.250), Sn at (0.000, 0.000, 0.500), Ge at (0.000, 0.500, 0.750) and As at (0.236, 0.264, 0.870).


Ti2Ga2Ir | SCAN | single point on PBEsol structure

Its calculated formation energy is -716 meV per atom. Its density of states at the Fermi level is 0.651 states/eV/atom.

The structure belongs to space group P4/mbm (No. 127); the cell edges are 6.409, 6.409 and 3.660 Å and the angles 90.00°, 90.00° and 90.00°. The distinct sites, in fractional coordinates, are Ti at (0.170, 0.330, 0.000), Ga at (0.134, 0.634, 0.500) and Ir at (0.000, 0.000, 0.500).


HPd2Pb | SCAN | single point on PBEsol structure

As for the energy relative to the lowest polymorph listed for this composition: 0.5641 eV/atom. Its density of states at the Fermi level is 0.423 states/eV/atom.

The structure belongs to space group Fm-3m (No. 225); the cell edges are 6.251, 6.251 and 6.251 Å and the angles 90.00°, 90.00° and 90.00°. The distinct sites, in fractional coordinates, are H at (0.000, 0.000, 0.000), Pd at (0.250, 0.250, 0.250) and Pb at (0.000, 0.000, 0.500).


ReNiTe2I | SCAN | single point on PBEsol structure

The value obtained for the uncorrected formation energy is 1.36 eV/atom. Its density of states at the Fermi level is 0.725 states/eV/atom.

The structure belongs to space group P4/mmm (No. 123); the cell edges are 4.975, 4.975 and 4.920 Å and the angles 90.00°, 90.00° and 90.00°. The distinct sites, in fractional coordinates, are Re at (0.000, 0.000, 0.000), Ni at (0.500, 0.500, 0.500), Te at (0.000, 0.500, 0.500) and I at (0.500, 0.500, 0.000).


TaMn2InBr | SCAN | single point on PBEsol structure

The value obtained for the uncorrected formation energy is 1.13 eV/atom. Its density of states at the Fermi level is 0.503 states/eV/atom.

The structure belongs to space group P4/mmm (No. 123); the cell edges are 5.005, 5.005 and 5.246 Å and the angles 90.00°, 90.00° and 90.00°. The distinct sites, in fractional coordinates, are Ta at (0.000, 0.000, 0.000), Mn at (0.000, 0.500, 0.500), In at (0.000, 0.000, 0.500) and Br at (0.500, 0.500, 0.000).


CsMn2P2 | SCAN | single point on PBEsol structure

Its calculated formation energy is -612 meV per atom. Its density of states at the Fermi level is 0.459 states/eV/atom.

The structure belongs to space group I4/mmm (No. 139); the cell edges are 3.752, 3.752 and 14.467 Å and the angles 90.00°, 90.00° and 90.00°. The distinct sites, in fractional coordinates, are Cs at (0.000, 0.000, 0.000), Mn at (0.000, 0.500, 0.250) and P at (0.000, 0.000, 0.335).


LaTaCl | SCAN | single point on PBEsol structure

As for the energy relative to the lowest polymorph listed for this composition: 0.0000 eV/atom. The value obtained for the uncorrected formation energy is -0.19 eV/atom. Its density of states at the Fermi level is 0.951 states/eV/atom.

The structure belongs to space group P3m1 (No. 156); the cell edges are 3.1725, 3.1725 and 7.4058 Å and the angles 90.00°, 90.00° and 120.00°. The distinct sites, in fractional coordinates, are La at (0.0000, 0.0000, 0.0000), Ta at (0.6667, 0.3333, 0.6253) and Cl at (0.3333, 0.6667, 0.3917).


BaSrZn2 | SCAN | single point on PBEsol structure

Its calculated formation energy is -224 meV per atom. Its density of states at the Fermi level is 0.678 states/eV/atom.

The structure belongs to space group R3m (No. 160, hexagonal axes); the cell edges are 4.5338, 4.5338 and 23.5547 Å and the angles 90.00°, 90.00° and 120.00°. The distinct sites, in fractional coordinates, are Ba at (0.0000, 0.0000, 0.0000), Sr at (0.0000, 0.0000, 0.8279), Zn at (0.0000, 0.0000, 0.2428) and Zn at (0.0000, 0.0000, 0.5758).


Al2PtPb | SCAN | single point on PBEsol structure

Its calculated formation energy is -28 meV per atom. Its density of states at the Fermi level is 0.384 states/eV/atom.

The structure belongs to space group Cmmm (No. 65); the cell edges are 5.891, 7.819 and 3.153 Å and the angles 90.00°, 90.00° and 90.00°. The distinct sites, in fractional coordinates, are Al at (0.250, 0.250, 0.000), Pt at (0.000, 0.000, 0.500) and Pb at (0.000, 0.500, 0.500).


ZnHF3 | SCAN | single point on PBEsol structure

The total energy is -6.59 eV/atom. Its density of states at the Fermi level is 0.683 states/eV/atom.

The structure belongs to space group Pm-3m (No. 221); the cell edges are 3.876, 3.876 and 3.876 Å and the angles 90.00°, 90.00° and 90.00°. The distinct sites, in fractional coordinates, are Zn at (0.000, 0.000, 0.000), H at (0.500, 0.500, 0.500) and F at (0.000, 0.000, 0.500).


YWAu2 | SCAN | single point on PBEsol structure

Its calculated formation energy is 75 meV per atom. Its density of states at the Fermi level is 1.072 states/eV/atom.

The structure belongs to space group I4/mmm (No. 139); the cell edges are 4.286, 4.286 and 8.053 Å and the angles 90.00°, 90.00° and 90.00°. The distinct sites, in fractional coordinates, are Y at (0.000, 0.000, 0.000), W at (0.000, 0.000, 0.500) and Au at (0.000, 0.500, 0.250).


CrNiO4 | SCAN | single point on PBEsol structure

The value obtained for the uncorrected formation energy is -1.73 eV/atom.

The structure belongs to space group Cmcm (No. 63); the cell edges are 5.430, 8.044 and 6.031 Å and the angles 90.00°, 90.00° and 90.00°. The distinct sites, in fractional coordinates, are Cr at (0.000, 0.142, 0.250), Ni at (0.000, 0.500, 0.000), O at (0.000, 0.263, 0.033) and O at (0.241, 0.477, 0.750).